(1)
The following is a PBE calculation of a relaxed structure of InSbW2, from the Alexandria database.

a = 4.689 Å, b = 4.689 Å, c = 3.344 Å
α = 90.00°, β = 90.00°, γ = 90.05°
Atoms (fractional coordinates):
Sb: 0.000 0.500 0.500
In: 0.500 0.000 0.500
W: 0.500 0.500 0.000
W: 0.000 0.000 0.000

Computed properties:
Final energy: -0.2699 Ha/atom
Uncorrected formation energy: 19.56 kcal/mol of atoms
Density of states at the Fermi level: 5.0 states/eV/cell
ΔE to the lowest computed polymorph: 526 meV/atom



(2)
The following is a PBE calculation of a relaxed structure of InSbW2, from the Alexandria database.

a = 3.245 Å, b = 3.227 Å, c = 9.534 Å
α = 59.32°, β = 90.00°, γ = 90.00°
Atoms (fractional coordinates):
In: 0.000 0.402 0.438
W: 0.500 0.249 0.208
W: 0.000 0.007 0.038
Sb: 0.500 0.842 0.816

Computed properties:
Final energy: -0.2892 Ha/atom
Uncorrected formation energy: 7.42 kcal/mol of atoms
Density of states at the Fermi level: 1.1 states/eV/cell
ΔE to the lowest computed polymorph: 0 meV/atom



(3)
The following is a PBE calculation of a relaxed structure of InSbW2, from the Alexandria database.

a = 3.008 Å, b = 3.008 Å, c = 9.084 Å
α = 90.00°, β = 90.00°, γ = 112.35°
Atoms (fractional coordinates):
W: 0.000 0.000 0.509
W: 0.000 0.000 0.991
Sb: 0.500 0.500 0.750
In: 0.500 0.500 0.250

Computed properties:
Final energy: -0.2686 Ha/atom
Uncorrected formation energy: 20.36 kcal/mol of atoms
Density of states at the Fermi level: 3.6 states/eV/cell
ΔE to the lowest computed polymorph: 561 meV/atom



(4)
The following is a PBE calculation of a relaxed structure of InSb2W, from the Alexandria database.

a = 5.482 Å, b = 5.482 Å, c = 6.615 Å
α = 69.46°, β = 69.46°, γ = 34.59°
Atoms (fractional coordinates):
Sb: 0.152 0.152 0.273
Sb: 0.979 0.979 0.983
W: 0.549 0.549 0.629
In: 0.820 0.820 0.615

Computed properties:
Final energy: -0.2047 Ha/atom
Uncorrected formation energy: 9.56 kcal/mol of atoms
Density of states at the Fermi level: 2.8 states/eV/cell



(5)
The following is a PBE calculation of a relaxed structure of InSbW2, from the Alexandria database.

a = 9.446 Å, b = 9.446 Å, c = 9.446 Å
α = 19.39°, β = 19.39°, γ = 19.39°
Atoms (fractional coordinates):
In: 0.508 0.508 0.508
W: 0.259 0.259 0.259
W: 0.994 0.994 0.994
Sb: 0.740 0.740 0.740

Computed properties:
Final energy: -0.2851 Ha/atom
Uncorrected formation energy: 10.03 kcal/mol of atoms
Density of states at the Fermi level: 2.4 states/eV/cell
ΔE to the lowest computed polymorph: 113 meV/atom



(6)
The following is a PBE calculation of a relaxed structure of InSb2W, from the Alexandria database.

a = 10.083 Å, b = 10.083 Å, c = 10.083 Å
α = 18.79°, β = 18.79°, γ = 18.79°
Atoms (fractional coordinates):
In: 0.760 0.760 0.760
W: 0.502 0.502 0.502
Sb: 0.002 0.002 0.002
Sb: 0.236 0.236 0.236

Computed properties:
Final energy: -0.2024 Ha/atom
Uncorrected formation energy: 11.02 kcal/mol of atoms
Density of states at the Fermi level: 2.7 states/eV/cell



(7)
The following is a PBE calculation of a relaxed structure of InSbW2, from the Alexandria database.

a = 3.276 Å, b = 4.902 Å, c = 5.622 Å
α = 57.26°, β = 90.00°, γ = 90.00°
Atoms (fractional coordinates):
Sb: 0.000 0.000 0.500
W: 0.000 0.000 0.000
W: 0.500 0.500 0.000
In: 0.500 0.500 0.500

Computed properties:
Final energy: -0.2734 Ha/atom
Uncorrected formation energy: 17.33 kcal/mol of atoms
Density of states at the Fermi level: 2.6 states/eV/cell
ΔE to the lowest computed polymorph: 430 meV/atom



(8)
The following is a PBE calculation of a relaxed structure of InSb2W, from the Alexandria database.

a = 9.522 Å, b = 9.522 Å, c = 9.522 Å
α = 159.51°, β = 159.79°, γ = 28.94°
Atoms (fractional coordinates):
In: 0.316 0.816 0.500
Sb: 0.665 0.165 0.500
Sb: 0.970 0.970 0.000
W: 0.549 0.549 0.000

Computed properties:
Final energy: -0.2039 Ha/atom
Uncorrected formation energy: 10.04 kcal/mol of atoms
Density of states at the Fermi level: 3.1 states/eV/cell



(9)
The following is a PBE calculation of a relaxed structure of InSb2W, from the Alexandria database.

a = 3.304 Å, b = 3.304 Å, c = 8.419 Å
α = 90.00°, β = 90.00°, γ = 90.00°
Atoms (fractional coordinates):
Sb: 0.500 0.500 0.307
Sb: 0.000 0.000 0.996
W: 0.000 0.000 0.490
In: 0.500 0.500 0.708

Computed properties:
Final energy: -0.2021 Ha/atom
Uncorrected formation energy: 11.15 kcal/mol of atoms
Density of states at the Fermi level: 2.6 states/eV/cell



(10)
The following is a PBE calculation of a relaxed structure of InSbW2, from the Alexandria database.

a = 4.772 Å, b = 4.772 Å, c = 4.772 Å
α = 60.00°, β = 60.00°, γ = 60.00°
Atoms (fractional coordinates):
Sb: 0.750 0.750 0.750
W: 0.250 0.250 0.250
W: 0.000 0.000 0.000
In: 0.500 0.500 0.500

Computed properties:
Final energy: -0.2712 Ha/atom
Uncorrected formation energy: 18.73 kcal/mol of atoms
Density of states at the Fermi level: 2.3 states/eV/cell
ΔE to the lowest computed polymorph: 490 meV/atom



(11)
The following is a PBE calculation of a relaxed structure of InSb2W, from the Alexandria database.

a = 5.644 Å, b = 5.644 Å, c = 5.644 Å
α = 134.61°, β = 134.61°, γ = 66.14°
Last column: magnetic moment on the atom in μB.
Atoms (fractional coordinates):
Sb: 0.250 0.750 0.500  -0.02
Sb: 0.000 0.000 0.000  -0.01
W: 0.500 0.500 0.000  0.99
In: 0.750 0.250 0.500  -0.01

Computed properties:
Final energy: -0.1887 Ha/atom
Uncorrected formation energy: 19.60 kcal/mol of atoms
Density of states at the Fermi level: 4.0 states/eV/cell



(12)
The following is a PBE calculation of a relaxed structure of InSbW2, from the Alexandria database.

a = 9.257 Å, b = 9.257 Å, c = 9.257 Å
α = 19.21°, β = 19.21°, γ = 19.21°
Atoms (fractional coordinates):
W: 0.496 0.496 0.496
W: 0.004 0.004 0.004
In: 0.250 0.250 0.250
Sb: 0.750 0.750 0.750

Computed properties:
Final energy: -0.2739 Ha/atom
Uncorrected formation energy: 17.06 kcal/mol of atoms
Density of states at the Fermi level: 2.7 states/eV/cell
ΔE to the lowest computed polymorph: 418 meV/atom



(13)
The following is a PBE calculation of a relaxed structure of InSbW2, from the Alexandria database.

a = 5.264 Å, b = 5.264 Å, c = 5.076 Å
α = 70.26°, β = 70.26°, γ = 36.38°
Atoms (fractional coordinates):
Sb: 0.266 0.266 0.204
In: 0.484 0.484 0.551
W: 0.723 0.723 0.723
W: 0.028 0.028 0.022

Computed properties:
Final energy: -0.2789 Ha/atom
Uncorrected formation energy: 13.91 kcal/mol of atoms
Density of states at the Fermi level: 2.8 states/eV/cell
ΔE to the lowest computed polymorph: 282 meV/atom



(14)
The following is a PBE calculation of a relaxed structure of InSbW2, from the Alexandria database.

a = 5.423 Å, b = 5.423 Å, c = 3.013 Å
α = 78.91°, β = 78.91°, γ = 114.05°
Atoms (fractional coordinates):
W: 0.500 0.500 0.000
W: 0.000 0.000 0.000
In: 0.500 0.000 0.500
Sb: 0.000 0.500 0.500

Computed properties:
Final energy: -0.2691 Ha/atom
Uncorrected formation energy: 20.04 kcal/mol of atoms
Density of states at the Fermi level: 3.5 states/eV/cell
ΔE to the lowest computed polymorph: 547 meV/atom



(15)
The following is a PBE calculation of a relaxed structure of InSb2W, from the Alexandria database.

a = 7.051 Å, b = 5.032 Å, c = 3.596 Å
α = 89.39°, β = 60.34°, γ = 121.59°
Atoms (fractional coordinates):
In: 0.500 0.500 0.000
W: 0.000 0.500 0.500
Sb: 0.500 0.000 0.500
Sb: 0.000 0.000 0.000

Computed properties:
Final energy: -0.1927 Ha/atom
Uncorrected formation energy: 17.09 kcal/mol of atoms
Density of states at the Fermi level: 3.1 states/eV/cell



(16)
The following is a PBE calculation of a relaxed structure of InSb2W, from the Alexandria database.

a = 3.564 Å, b = 5.108 Å, c = 4.882 Å
α = 90.00°, β = 90.00°, γ = 90.00°
Atoms (fractional coordinates):
Sb: 0.500 0.500 0.000
Sb: 0.000 0.000 0.000
W: 0.500 0.000 0.500
In: 0.000 0.500 0.500

Computed properties:
Final energy: -0.1891 Ha/atom
Uncorrected formation energy: 19.34 kcal/mol of atoms
Density of states at the Fermi level: 3.8 states/eV/cell



(17)
The following is a PBE calculation of a relaxed structure of InSbW2, from the Alexandria database.

a = 3.378 Å, b = 4.883 Å, c = 4.595 Å
α = 90.00°, β = 90.00°, γ = 90.00°
Atoms (fractional coordinates):
Sb: 0.000 0.500 0.500
W: 0.000 0.000 0.000
W: 0.500 0.500 0.000
In: 0.500 0.000 0.500

Computed properties:
Final energy: -0.2696 Ha/atom
Uncorrected formation energy: 19.74 kcal/mol of atoms
Density of states at the Fermi level: 2.4 states/eV/cell
ΔE to the lowest computed polymorph: 534 meV/atom



(18)
The following is a PBE calculation of a relaxed structure of InSb2W, from the Alexandria database.

a = 5.017 Å, b = 5.017 Å, c = 5.017 Å
α = 60.00°, β = 60.00°, γ = 60.00°
Atoms (fractional coordinates):
Sb: 0.750 0.750 0.750
Sb: 0.000 0.000 0.000
W: 0.250 0.250 0.250
In: 0.500 0.500 0.500

Computed properties:
Final energy: -0.1865 Ha/atom
Uncorrected formation energy: 20.98 kcal/mol of atoms
Density of states at the Fermi level: 3.8 states/eV/cell



(19)
The following is a PBE calculation of a relaxed structure of InSb2W, from the Alexandria database.

a = 4.949 Å, b = 3.203 Å, c = 5.955 Å
α = 75.48°, β = 90.00°, γ = 90.00°
Atoms (fractional coordinates):
W: 0.500 0.250 0.250
In: 0.500 0.750 0.750
Sb: 0.000 0.142 0.016
Sb: 0.000 0.358 0.484

Computed properties:
Final energy: -0.1947 Ha/atom
Uncorrected formation energy: 15.79 kcal/mol of atoms
Density of states at the Fermi level: 3.3 states/eV/cell



(20)
The following is a PBE calculation of a relaxed structure of InSb2W, from the Alexandria database.

a = 6.484 Å, b = 6.484 Å, c = 7.912 Å
α = 65.81°, β = 65.81°, γ = 90.00°
Last column: magnetic moment on the atom in μB.
Atoms (fractional coordinates):
In: 0.250 0.750 0.500  0.00
In: 0.500 0.500 0.000  0.00
W: 0.000 0.000 0.000  0.91
W: 0.750 0.250 0.500  0.90
Sb: 0.875 0.922 0.750  -0.04
Sb: 0.672 0.125 0.250  -0.03
Sb: 0.375 0.328 0.750  -0.04
Sb: 0.078 0.625 0.250  -0.03

Computed properties:
Final energy: -0.1928 Ha/atom
Uncorrected formation energy: 17.04 kcal/mol of atoms
Density of states at the Fermi level: 3.8 states/eV/cell